Entry 1:
SrCu3W | PBE | relaxed

The value obtained for the energy above the most stable polymorph in this dataset is 1482.7 meV per atom. As for the formation energy: 2.29 eV per atom. As for the raw total energy: -0.114 Ha/atom. As for the total magnetization: 0.0 μB per formula unit.

The space group is Pm-3m (No. 221) and the conventional cell measures 4.703, 4.703 and 4.703 Å, with angles of 90.00, 90.00 and 90.00 degrees. The inequivalent atoms are Sr at (0.000, 0.000, 0.000), Cu at (0.000, 0.000, 0.500) and W at (0.500, 0.500, 0.500).



Entry 2:
PtRhAu2 | PBE | relaxed

The value obtained for the energy above the most stable polymorph in this dataset is 49.8 meV per atom. As for the formation energy: 0.12 eV per atom. As for the raw total energy: -0.179 Ha/atom. As for the total magnetization: 0.4 μB per formula unit.

The space group is C2/m (No. 12) and the conventional cell measures 9.528, 2.838 and 4.927 Å, with angles of 90.00, 99.82 and 90.00 degrees. The inequivalent atoms are Pt at (0.000, 0.000, 0.000), Rh at (0.000, 0.500, 0.500) and Au at (0.249, 0.000, 0.748).



Entry 3:
Ba6SrTl | PBE | relaxed

The value obtained for the energy above the most stable polymorph in this dataset is 0.0 meV per atom. As for the formation energy: -0.07 eV per atom. As for the raw total energy: -0.074 Ha/atom. As for the total magnetization: 0.0 μB per formula unit.

The space group is Amm2 (No. 38) and the conventional cell measures 4.504, 14.172 and 14.114 Å, with angles of 90.00, 90.00 and 90.00 degrees. The inequivalent atoms are Ba at (0.000, 0.000, 0.000), Ba at (0.000, 0.206, 0.793), Ba at (0.500, 0.000, 0.301), Ba at (0.500, 0.246, 0.542), Sr at (0.000, 0.000, 0.592) and Tl at (0.500, 0.000, 0.792).



Entry 4:
CdPbF4 | PBE | relaxed

For the uncorrected formation energy, the calculation gives -2285.4 meV/atom. The value obtained for the energy above the most stable polymorph in this dataset is 0.0 meV per atom. As for the raw total energy: -0.158 Ha/atom. As for the total magnetization: 0.0 μB per formula unit.

The space group is C2/m (No. 12) and the conventional cell measures 5.692, 5.692 and 5.819 Å, with angles of 90.00, 90.14 and 90.00 degrees. The inequivalent atoms are Cd at (0.000, 0.000, 0.000), Pb at (0.000, 0.500, 0.500) and F at (0.250, 0.250, 0.231).



Entry 5:
Rb2Hg2OsO4 | PBE | relaxed

For the uncorrected formation energy, the calculation gives -846.4 meV/atom. As for the raw total energy: -0.168 Ha/atom. As for the total magnetization: 0.8 μB per formula unit.

The space group is I4/mmm (No. 139) and the conventional cell measures 6.912, 6.912 and 8.450 Å, with angles of 90.00, 90.00 and 90.00 degrees. The inequivalent atoms are Rb at (0.000, 0.500, 0.250), Hg at (0.000, 0.000, 0.162), Os at (0.000, 0.000, 0.500) and O at (0.190, 0.190, 0.500).



Entry 6:
PmMn4 | PBE | relaxed

As for the formation energy: 1.79 eV per atom. As for the raw total energy: -0.239 Ha/atom. As for the total magnetization: 14.6 μB per formula unit.

The space group is Pm-3m (No. 221) and the conventional cell measures 4.918, 4.918 and 4.918 Å, with angles of 90.00, 90.00 and 90.00 degrees. The inequivalent atoms are Pm at (0.000, 0.000, 0.000), Mn at (0.000, 0.000, 0.500) and Mn at (0.500, 0.500, 0.500).